# NaFeOsAu

Crystalline NaFeOsAu at its relaxed geometry (PBE, OQMD).

The structure in extended XYZ format:
```
4
Lattice="0.000 3.183 3.183 3.183 0.000 3.183 3.183 3.183 0.000" Properties=species:S:1:pos:R:3 pbc="T T T"
Na 0.000 0.000 0.000
Fe 1.592 1.592 1.592
Os 4.775 4.775 4.775
Au 3.183 3.183 3.183
```

Summary:
* final energy: -5.0477 eV per atom
* symmetry: F-43m (216)
* ΔE to the lowest computed polymorph: 6.21 kcal/mol of atoms
* crystal system: cubic